[1]
DFT (PBE) results for a relaxed structure of Zn3TeAs.

The excess energy over the best structure of this formula in the dataset is 0.593 eV/atom. The calculation puts the total energy at -8.08 eV/cell. The energy relative to the elements, uncorrected is 708 meV per atom.

a b c (Å): 5.179 5.179 5.179
angles (deg): 90.00 90.00 90.00
Space group Pm-3m (No. 221)
Inequivalent atoms, fractional coordinates:
Zn 0.000 0.000 0.500
Te 0.000 0.000 0.000
As 0.500 0.500 0.500

***

[2]
DFT (PBE) results for a relaxed structure of ZnTeAs3.

The excess energy over the best structure of this formula in the dataset is 0.437 eV/atom. The calculation puts the total energy at -12.94 eV/cell. The energy relative to the elements, uncorrected is 1084 meV per atom.

a b c (Å): 5.344 5.344 5.344
angles (deg): 90.00 90.00 90.00
Space group Pm-3m (No. 221)
Inequivalent atoms, fractional coordinates:
Zn 0.000 0.000 0.000
Te 0.500 0.500 0.500
As 0.000 0.500 0.500

***

[3]
DFT (PBE) results for a relaxed structure of Zn3TeAs.

The excess energy over the best structure of this formula in the dataset is 0.000 eV/atom. The calculation puts the total energy at -11.04 eV/cell. The energy relative to the elements, uncorrected is 115 meV per atom.

a b c (Å): 4.892 4.892 4.892
angles (deg): 90.00 90.00 90.00
Space group Pm-3m (No. 221)
Inequivalent atoms, fractional coordinates:
Zn 0.000 0.000 0.500
Te 0.500 0.500 0.500
As 0.000 0.000 0.000

***

[4]
DFT (PBE) results for a relaxed structure of ZnTeAs.

The excess energy over the best structure of this formula in the dataset is 0.029 eV/atom. The calculation puts the total energy at -8.85 eV/cell. The energy relative to the elements, uncorrected is 72 meV per atom.

a b c (Å): 3.9997 3.9997 4.8821
angles (deg): 90.00 90.00 120.00
Space group P3m1 (No. 156)
Inequivalent atoms, fractional coordinates:
Zn 0.0000 0.0000 0.0000
Te 0.3333 0.6667 0.6580
As 0.6667 0.3333 0.2540